[1]
# Pa2PdAu3 (PBE, optimized geometry)
data_Pa2PdAu3
_space_group_name_H-M_alt 'P 1'
_space_group_IT_number 1
_cell_length_a 5.712
_cell_length_b 5.712
_cell_length_c 8.858
_cell_angle_alpha 101.05
_cell_angle_beta 101.05
_cell_angle_gamma 113.91
loop_
_space_group_symop_operation_xyz
'x,y,z'
loop_
_atom_site_label
_atom_site_fract_x
_atom_site_fract_y
_atom_site_fract_z
Pa1 0.250 0.750 0.500
Pa2 0.747 0.747 0.000
Pa3 0.750 0.250 0.500
Pa4 0.253 0.253 0.000
Pd1 0.334 0.334 0.667
Pd2 0.666 0.666 0.333
Au1 0.665 0.167 0.832
Au2 0.833 0.335 0.168
Au3 0.335 0.833 0.168
Au4 0.167 0.665 0.832
Au5 0.832 0.832 0.664
Au6 0.168 0.168 0.336
# Total energy: -6.18 eV per atom
# Space group: No. 69


[2]
# Sm8AlPd2 (PBE, optimized geometry)
data_Sm8AlPd2
_space_group_name_H-M_alt 'P 1'
_space_group_IT_number 1
_cell_length_a 5.533
_cell_length_b 8.205
_cell_length_c 8.205
_cell_angle_alpha 115.18
_cell_angle_beta 98.96
_cell_angle_gamma 98.96
loop_
_space_group_symop_operation_xyz
'x,y,z'
loop_
_atom_site_label
_atom_site_fract_x
_atom_site_fract_y
_atom_site_fract_z
Sm1 0.576 0.328 0.086
Sm2 0.576 0.086 0.328
Sm3 0.186 0.390 0.390
Sm4 0.000 0.240 0.767
Sm5 0.000 0.767 0.240
Sm6 0.814 0.616 0.616
Sm7 0.425 0.920 0.678
Sm8 0.425 0.678 0.920
Al1 0.000 0.003 0.003
Pd1 0.499 0.699 0.306
Pd2 0.499 0.306 0.699
# Total energy: -4.97 eV per atom
# Space group: No. 8


[3]
# K4Tb3ThS8 (PBE, optimized geometry)
data_K4Tb3ThS8
_space_group_name_H-M_alt 'P 1'
_space_group_IT_number 1
_cell_length_a 8.163
_cell_length_b 8.769
_cell_length_c 8.163
_cell_angle_alpha 117.75
_cell_angle_beta 120.00
_cell_angle_gamma 90.00
loop_
_space_group_symop_operation_xyz
'x,y,z'
loop_
_atom_site_label
_atom_site_fract_x
_atom_site_fract_y
_atom_site_fract_z
K1 0.500 0.000 0.000
K2 0.500 0.000 0.500
K3 0.000 0.000 0.000
K4 0.000 0.000 0.500
Tb1 0.500 0.500 0.000
Tb2 0.500 0.500 0.500
Tb3 0.000 0.500 0.500
Th1 0.000 0.500 0.000
S1 0.236 0.706 0.970
S2 0.236 0.706 0.472
S3 0.266 0.297 0.531
S4 0.734 0.706 0.970
S5 0.266 0.294 0.030
S6 0.734 0.703 0.469
S7 0.764 0.294 0.528
S8 0.764 0.294 0.030
# Raw formation energy: -1831 meV per atom
# Space group: No. 166


[4]
# TlV4FeS8 (PBE, optimized geometry)
data_TlV4FeS8
_space_group_name_H-M_alt 'P 1'
_space_group_IT_number 1
_cell_length_a 8.852
_cell_length_b 8.852
_cell_length_c 8.496
_cell_angle_alpha 74.59
_cell_angle_beta 74.59
_cell_angle_gamma 21.44
loop_
_space_group_symop_operation_xyz
'x,y,z'
loop_
_atom_site_label
_atom_site_fract_x
_atom_site_fract_y
_atom_site_fract_z
Tl1 0.500 0.500 0.000
V1 0.288 0.288 0.860
V2 0.712 0.712 0.140
V3 0.353 0.353 0.502
V4 0.647 0.647 0.498
Fe1 0.000 0.000 0.500
S1 0.158 0.158 0.007
S2 0.842 0.842 0.993
S3 0.242 0.242 0.337
S4 0.758 0.758 0.663
S5 0.081 0.081 0.675
S6 0.919 0.919 0.325
S7 0.431 0.431 0.670
S8 0.569 0.569 0.330
# Raw formation energy: -782 meV per atom
# Space group: No. 12


[5]
# Pm5PrN4 (PBE, optimized geometry)
data_Pm5PrN4
_space_group_name_H-M_alt 'P 1'
_space_group_IT_number 1
_cell_length_a 3.609
_cell_length_b 7.472
_cell_length_c 8.122
_cell_angle_alpha 102.71
_cell_angle_beta 102.84
_cell_angle_gamma 90.00
loop_
_space_group_symop_operation_xyz
'x,y,z'
loop_
_atom_site_label
_atom_site_fract_x
_atom_site_fract_y
_atom_site_fract_z
Pm1 0.840 0.694 0.680
Pm2 0.835 0.149 0.670
Pm3 0.165 0.851 0.330
Pm4 0.500 0.500 0.000
Pm5 0.160 0.306 0.320
Pr1 0.500 0.000 0.000
N1 0.331 0.914 0.661
N2 0.997 0.742 0.994
N3 0.669 0.086 0.339
N4 0.003 0.258 0.006
# Raw formation energy: -1103 meV per atom
# Space group: No. 12


[6]
# KTa2Ag (PBE, optimized geometry)
data_KTa2Ag
_space_group_name_H-M_alt 'P 1'
_space_group_IT_number 1
_cell_length_a 11.663
_cell_length_b 11.663
_cell_length_c 11.663
_cell_angle_alpha 14.39
_cell_angle_beta 14.39
_cell_angle_gamma 14.39
loop_
_space_group_symop_operation_xyz
'x,y,z'
loop_
_atom_site_label
_atom_site_fract_x
_atom_site_fract_y
_atom_site_fract_z
Ag1 0.250 0.250 0.250
K1 0.750 0.750 0.750
Ta1 0.988 0.988 0.988
Ta2 0.512 0.512 0.512
# Distance to the lowest polymorph of the same formula: 301.1 meV/atom
# Space group: No. 166


[7]
# NdNb2VN4 (PBE, optimized geometry)
data_NdNb2VN4
_space_group_name_H-M_alt 'P 1'
_space_group_IT_number 1
_cell_length_a 3.253
_cell_length_b 5.779
_cell_length_c 10.869
_cell_angle_alpha 90.00
_cell_angle_beta 90.00
_cell_angle_gamma 106.35
loop_
_space_group_symop_operation_xyz
'x,y,z'
loop_
_atom_site_label
_atom_site_fract_x
_atom_site_fract_y
_atom_site_fract_z
Nd1 0.100 0.200 0.750
Nd2 0.900 0.800 0.250
Nb1 0.374 0.747 0.540
Nb2 0.626 0.253 0.040
Nb3 0.626 0.253 0.460
Nb4 0.374 0.747 0.960
V1 0.838 0.676 0.750
V2 0.162 0.324 0.250
N1 0.267 0.534 0.115
N2 0.733 0.466 0.615
N3 0.733 0.466 0.885
N4 0.267 0.534 0.385
N5 0.000 0.000 0.500
N6 0.000 0.000 0.000
N7 0.434 0.868 0.750
N8 0.566 0.132 0.250
# Raw formation energy: -1046 meV per atom
# Space group: No. 63


[8]
# La8Sm2Y (PBE, optimized geometry)
data_La8Sm2Y
_space_group_name_H-M_alt 'P 1'
_space_group_IT_number 1
_cell_length_a 5.248
_cell_length_b 8.263
_cell_length_c 9.768
_cell_angle_alpha 104.57
_cell_angle_beta 105.58
_cell_angle_gamma 90.00
loop_
_space_group_symop_operation_xyz
'x,y,z'
loop_
_atom_site_label
_atom_site_fract_x
_atom_site_fract_y
_atom_site_fract_z
La1 0.591 0.454 0.182
La2 0.319 0.088 0.637
La3 0.137 0.184 0.275
La4 0.047 0.727 0.093
La5 0.863 0.816 0.725
La6 0.681 0.912 0.363
La7 0.409 0.546 0.818
La8 0.953 0.273 0.907
Sm1 0.227 0.635 0.453
Sm2 0.773 0.365 0.547
Y1 0.500 0.000 0.000
# Distance to the lowest polymorph of the same formula: 0.0 meV/atom
# Space group: No. 12


[9]
# HgPd2Pb (PBE, optimized geometry)
data_HgPd2Pb
_space_group_name_H-M_alt 'P 1'
_space_group_IT_number 1
_cell_length_a 3.366
_cell_length_b 3.366
_cell_length_c 6.863
_cell_angle_alpha 90.00
_cell_angle_beta 90.00
_cell_angle_gamma 90.00
loop_
_space_group_symop_operation_xyz
'x,y,z'
loop_
_atom_site_label
_atom_site_fract_x
_atom_site_fract_y
_atom_site_fract_z
Pb1 0.500 0.500 0.500
Hg1 0.500 0.500 0.000
Pd1 0.000 0.000 0.762
Pd2 0.000 0.000 0.238
# Total energy: -3.76 eV per atom
# Space group: No. 123


[10]
# GeB3As (PBE, optimized geometry)
data_GeB3As
_space_group_name_H-M_alt 'P 1'
_space_group_IT_number 1
_cell_length_a 4.150
_cell_length_b 4.150
_cell_length_c 4.150
_cell_angle_alpha 90.00
_cell_angle_beta 90.00
_cell_angle_gamma 90.00
loop_
_space_group_symop_operation_xyz
'x,y,z'
loop_
_atom_site_label
_atom_site_fract_x
_atom_site_fract_y
_atom_site_fract_z
As1 0.500 0.500 0.500
B1 0.000 0.500 0.000
B2 0.000 0.000 0.500
B3 0.500 0.000 0.000
Ge1 0.000 0.000 0.000
# Distance to the lowest polymorph of the same formula: 15.9 meV/atom
# Space group: No. 221


Number 1: mass density 15.57 g cm⁻³, Fermi-level density of states 11.995 states/eV/cell. Number 2: mass density 7.43 g cm⁻³, Fermi-level density of states 15.506 states/eV/cell. Number 3: mass density 4.37 g cm⁻³, Fermi-level density of states 4.600 states/eV/cell. Number 4: mass density 5.11 g cm⁻³, Fermi-level density of states 7.106 states/eV/cell. Number 5: mass density 7.36 g cm⁻³, Fermi-level density of states 4.548 states/eV/cell. Number 6: mass density 9.90 g cm⁻³, Fermi-level density of states 2.764 states/eV/cell. Number 7: mass density 7.40 g cm⁻³, Fermi-level density of states 5.757 states/eV/cell. Number 8: mass density 6.33 g cm⁻³, Fermi-level density of states 19.689 states/eV/cell. Number 9: mass density 13.26 g cm⁻³, Fermi-level density of states 0.870 states/eV/cell. Number 10: mass density 4.18 g cm⁻³, Fermi-level density of states 2.174 states/eV/cell.